4
Lattice="3.2028 0.0000 0.0000 0.0000 5.3992 -0.0176 0.0000 3.6236 4.3415" Properties=species:S:1:pos:R:3 comment="AlCr2Pb | Alexandria | PBE | optimized geometry" total_magnetization_mub_per_atom=1.708 space_group="P2/m, No. 10" formation_enthalpy_0k_ev_per_atom=0.5839 pbc="T T T"
Cr 0.0000 0.0000 0.0000
Cr 1.6014 2.6996 -0.0088
Pb 1.6014 4.5114 2.1619
Al 0.0000 1.8118 2.1708